DFT (PBE) results for an optimized crystal structure of BaLi2MgIn2.

Geometry as CIF:
```
data_BaLi2MgIn2
_cell_length_a 4.8425
_cell_length_b 4.8425
_cell_length_c 8.1220
_cell_angle_alpha 90.00
_cell_angle_beta 90.00
_cell_angle_gamma 120.00
_symmetry_space_group_name_H-M 'P -3 m 1'
_symmetry_Int_Tables_number 164
_symmetry_space_group_name_Hall '-P 3 2"'
loop_
_atom_site_label
_atom_site_fract_x
_atom_site_fract_y
_atom_site_fract_z
_atom_site_occupancy
Ba1 0.0000 0.0000 0.0000 1
Li1 0.3333 0.6667 0.3445 1
Mg1 0.0000 0.0000 0.5000 1
In1 0.3333 0.6667 0.6962 1
```

Its volume is 27.5 Å³ per atom. Its formation enthalpy at 0 K is -0.262 eV per atom. The value obtained for the total energy is -2.399 eV/atom.



DFT (PBE) results for an optimized crystal structure of Ba2Li3MgIn12.

Geometry as CIF:
```
data_Ba2Li3MgIn12
_cell_length_a 7.3288
_cell_length_b 7.3288
_cell_length_c 33.5549
_cell_angle_alpha 90.00
_cell_angle_beta 90.00
_cell_angle_gamma 120.00
_symmetry_space_group_name_H-M 'R -3 m'
_symmetry_Int_Tables_number 166
_symmetry_space_group_name_Hall '-R 3 2"'
loop_
_atom_site_label
_atom_site_fract_x
_atom_site_fract_y
_atom_site_fract_z
_atom_site_occupancy
Ba1 0.0000 0.0000 0.1414 1
Li1 0.0000 0.5000 0.0000 1
Mg1 0.0000 0.0000 0.5000 1
In1 0.0140 0.5070 0.0990 1
In2 0.0604 0.5302 0.6232 1
```

Its volume is 28.9 Å³ per atom. Its formation enthalpy at 0 K is -0.140 eV per atom. The value obtained for the total energy is -2.587 eV/atom.



DFT (PBE) results for an optimized crystal structure of BaLi4Mg2In.

Geometry as CIF:
```
data_BaLi4Mg2In
_cell_length_a 4.8294
_cell_length_b 4.8294
_cell_length_c 30.9393
_cell_angle_alpha 90.00
_cell_angle_beta 90.00
_cell_angle_gamma 120.00
_symmetry_space_group_name_H-M 'R -3 m'
_symmetry_Int_Tables_number 166
_symmetry_space_group_name_Hall '-R 3 2"'
loop_
_atom_site_label
_atom_site_fract_x
_atom_site_fract_y
_atom_site_fract_z
_atom_site_occupancy
Ba1 0.0000 0.0000 0.0000 1
Li1 0.0000 0.0000 0.1347 1
Li2 0.0000 0.0000 0.4109 1
Mg1 0.0000 0.0000 0.2301 1
In1 0.0000 0.0000 0.5000 1
```

Its volume is 26.0 Å³ per atom. Its formation enthalpy at 0 K is -0.083 eV per atom. The value obtained for the total energy is -2.021 eV/atom.



DFT (PBE) results for an optimized crystal structure of BaLiMgIn2.

Geometry as CIF:
```
data_BaLiMgIn2
_cell_length_a 5.230
_cell_length_b 5.230
_cell_length_c 5.209
_cell_angle_alpha 90.00
_cell_angle_beta 90.00
_cell_angle_gamma 90.00
_symmetry_space_group_name_H-M 'P 4/m m m'
_symmetry_Int_Tables_number 123
_symmetry_space_group_name_Hall '-P 4 2'
loop_
_atom_site_label
_atom_site_fract_x
_atom_site_fract_y
_atom_site_fract_z
_atom_site_occupancy
Ba1 0.000 0.000 0.000 1
Li1 0.500 0.500 0.500 1
Mg1 0.500 0.500 0.000 1
In1 0.000 0.500 0.500 1
```

Its volume is 28.5 Å³ per atom. Its formation enthalpy at 0 K is -0.153 eV per atom. The value obtained for the total energy is -2.335 eV/atom. The energy above the most stable polymorph in this dataset comes out at 132 meV per atom.